DFT (GGA-PBE) results for a relaxed RbTlGe crystal. Values from VASP.

Values from the calculation:
density of states at the Fermi level: 0.34 states/eV per atom
calculated density: 5.53 g/cm3
final energy: -2.741 eV per atom
spin magnetization: 0.000 μB/atom
ΔH_f (0 K): -0.090 eV/atom

The structure in Quantum ESPRESSO input format:
```
&SYSTEM
  ibrav = 0, nat = 6, ntyp = 3
/
ATOMIC_SPECIES
Rb 85.47 Rb.upf
Tl 204.38 Tl.upf
Ge 72.64 Ge.upf
CELL_PARAMETERS angstrom
7.727 -2.043 0.000
7.727 2.043 0.000
-1.457 0.000 6.901
ATOMIC_POSITIONS angstrom
Rb 1.379 0.000 2.473
Rb 12.618 0.000 4.428
Tl 6.128 0.000 1.083
Tl 7.870 0.000 5.818
Ge 2.493 0.000 6.052
Ge 11.505 0.000 0.849
```